First-principles (PBE) data for crystalline YEr2Tm3CuTe2 at its relaxed geometry, as listed in OQMD via LeMat-Bulk.

CIF file:
```
data_YEr2Tm3CuTe2
_symmetry_space_group_name_H-M 'P 1'
_symmetry_Int_Tables_number 1
_symmetry_space_group_name_Hall 'P 1'
_cell_length_a 3.9279
_cell_length_b 8.3265
_cell_length_c 8.3265
_cell_angle_alpha 119.90
_cell_angle_beta 90.00
_cell_angle_gamma 90.00
loop_
_atom_site_label
_atom_site_fract_x
_atom_site_fract_y
_atom_site_fract_z
Cu1 0.0000 0.0004 0.0004
Te1 0.5000 0.6667 0.3330
Te2 0.5000 0.3330 0.6667
Y1 0.0000 0.5977 0.5977
Er1 0.0000 0.0000 0.4018
Er2 0.0000 0.4018 0.0000
Tm1 0.5000 0.2406 0.2406
Tm2 0.5000 0.0006 0.7591
Tm3 0.5000 0.7591 0.0006
```

Values from the calculation:
As for the uncorrected energy: -4.97 eV/atom. The spin magnetization is 0.12 μB/f.u.